SrMgGa2Ag4: relaxed, PBE.

Calculated values
Formation energy from the elements ... -0.182 eV/atom

Structure (POSCAR):
```
SrMgGa2Ag4
1.0
4.6230 0.0000 0.0000
2.3115 4.0037 0.0000
2.3115 1.3346 9.0790
Sr Mg Ga Ag
1 1 2 4
Cartesian
0.0000 0.0000 0.0000
4.6230 2.6691 4.5395
6.9345 4.0037 6.6147
2.3115 1.3345 2.4643
4.6230 2.6691 7.1917
6.9345 4.0037 3.5748
2.3115 1.3346 5.5042
4.6230 2.6691 1.8873
```

=====

SrMgGa4Ag2: relaxed, PBE.

Calculated values
Formation energy from the elements ... -0.200 eV/atom

Structure (POSCAR):
```
SrMgGa4Ag2
1.0
-2.5612 1.1124 3.5806
1.4598 -0.9028 4.2038
3.9226 8.7449 2.9682
Sr Mg Ga Ag
1 1 4 2
Cartesian
0.0000 0.0000 0.0000
1.4106 4.4773 5.3763
2.6851 7.0546 5.4872
0.4358 3.3182 7.9182
2.3854 5.6363 2.8344
0.1362 1.8999 5.2654
1.8378 6.1533 8.0402
0.9835 2.8012 2.7124
```

=====

SrMgGaAg2: relaxed, PBE.

Calculated values
Formation energy from the elements ... -0.274 eV/atom

Structure (POSCAR):
```
SrMgGaAg2
1.0
4.6174 0.0000 0.0000
0.0000 4.0430 0.0000
-2.3087 -2.0215 6.2970
Sr Mg Ga Ag
1 1 1 2
Cartesian
0.0000 0.0000 5.5931
0.0000 2.0215 2.5114
2.3087 2.0215 4.1912
2.3087 0.0000 2.4071
0.0000 0.0000 0.5628
```

=====

Q: What is the formation energy from the elements in the third record?
A: -0.274 eV/atom